Computed, not measured: a relaxed Mg3GeMo crystal at the PBE-GGA level of DFT.

The calculation puts the magnetization at 1.75 μB/f.u. For the density, the calculation gives 2.9 g/cm3. Its polymorph energy (0 for the lowest one) is 147.3 kJ/mol of formula units. For the energy, the calculation gives -14.37 eV/cell. The calculation puts the calculated volume at 27.4 Å³ per atom.

abc: 5.1560 5.1560 5.1560
angles: 90.00 90.00 90.00
Last column: nearest neighbours and their distance in Å.
Sites, in units of the cell vectors:
Ge 0.5000 0.5000 0.5000  12 Mg 3.65
Mo 0.0000 0.0000 0.0000  6 Mg 2.58
Mg 0.0000 0.0000 0.5000  2 Mo 2.58
Mg 0.5000 0.0000 0.0000  2 Mo 2.58
Mg 0.0000 0.5000 0.0000  2 Mo 2.58


Computed, not measured: a relaxed Mg3GeMo crystal at the PBE-GGA level of DFT.

The calculation puts the magnetization at 4.04 μB/f.u. For the density, the calculation gives 3.2 g/cm3. Its polymorph energy (0 for the lowest one) is 0.0 kJ/mol of formula units. For the energy, the calculation gives -15.89 eV/cell. The calculation puts the calculated volume at 25.1 Å³ per atom.

abc: 5.0049 5.0049 5.0049
angles: 90.00 90.00 90.00
Last column: nearest neighbours and their distance in Å.
Sites, in units of the cell vectors:
Mg 0.0000 0.5000 0.0000  2 Ge 2.50
Mo 0.5000 0.5000 0.5000  12 Mg 3.54
Mg 0.5000 0.0000 0.0000  2 Ge 2.50
Mg 0.0000 0.0000 0.5000  2 Ge 2.50
Ge 0.0000 0.0000 0.0000  6 Mg 2.50


Computed, not measured: a relaxed MgGe2Mo crystal at the PBE-GGA level of DFT.

The calculation puts the magnetization at 0.00 μB/f.u. For the density, the calculation gives 6.2 g/cm3. For the energy, the calculation gives -21.57 eV/cell. The calculation puts the calculated volume at 17.7 Å³ per atom.

abc: 3.1421 3.1421 8.4847
angles: 79.33 79.33 60.00
Last column: nearest neighbours and their distance in Å.
Sites, in units of the cell vectors:
Mg 0.5015 0.5015 0.4956  6 Ge 2.86-2.92, 6 Mg 3.14
Mo 0.6659 0.6659 0.0023  6 Ge 2.62-2.63
Ge 0.0759 0.0759 0.7724  3 Mo 2.63, 3 Mg 2.92
Ge 0.2568 0.2568 0.2297  3 Mo 2.62, 3 Mg 2.86


Computed, not measured: a relaxed MgGe3Mo crystal at the PBE-GGA level of DFT.

The calculation puts the magnetization at 0.00 μB/f.u. For the density, the calculation gives 4.7 g/cm3. Its polymorph energy (0 for the lowest one) is 0.0 kJ/mol of formula units. For the energy, the calculation gives -24.71 eV/cell. The calculation puts the calculated volume at 23.9 Å³ per atom.

abc: 4.9253 4.9253 4.9253
angles: 90.00 90.00 90.00
Last column: nearest neighbours and their distance in Å.
Sites, in units of the cell vectors:
Ge 0.0000 0.5000 0.0000  2 Mo 2.46
Ge 0.5000 0.0000 0.0000  2 Mo 2.46
Ge 0.0000 0.0000 0.5000  2 Mo 2.46
Mg 0.5000 0.5000 0.5000  12 Ge 3.48
Mo 0.0000 0.0000 0.0000  6 Ge 2.46